[1]
# CrTeI2Cl (SCAN, PBEsol geometry)
data_CrTeI2Cl
_symmetry_space_group_name_H-M 'P 4/m m m'
_symmetry_Int_Tables_number 123
_symmetry_space_group_name_Hall '-P 4 2'
_cell_length_a 5.567
_cell_length_b 5.567
_cell_length_c 5.341
_cell_angle_alpha 90.00
_cell_angle_beta 90.00
_cell_angle_gamma 90.00
loop_
_atom_site_label
_atom_site_fract_x
_atom_site_fract_y
_atom_site_fract_z
Cr1 0.000 0.000 0.000
Te1 0.500 0.500 0.000
I1 0.000 0.500 0.500
Cl1 0.500 0.500 0.500
# D(E_F): 1.113 states/eV/atom
# Formation energy from raw total energies: 0.70 eV/atom
# Theoretical density: 4.70 g/cm³



[2]
# CrIn2Cl (SCAN, PBEsol geometry)
data_CrIn2Cl
_symmetry_space_group_name_H-M 'R -3 m'
_symmetry_Int_Tables_number 166
_symmetry_space_group_name_Hall '-R 3 2"'
_cell_length_a 3.3374
_cell_length_b 3.3374
_cell_length_c 25.3636
_cell_angle_alpha 90.00
_cell_angle_beta 90.00
_cell_angle_gamma 120.00
loop_
_atom_site_label
_atom_site_fract_x
_atom_site_fract_y
_atom_site_fract_z
Cr1 0.0000 0.0000 0.0000
In1 0.0000 0.0000 0.2551
Cl1 0.0000 0.0000 0.5000
# D(E_F): 0.407 states/eV/atom
# Formation energy from raw total energies: -0.08 eV/atom
# Theoretical density: 6.46 g/cm³



[3]
# CrInCl3 (SCAN, PBEsol geometry)
data_CrInCl3
_symmetry_space_group_name_H-M 'P m -3 m'
_symmetry_Int_Tables_number 221
_symmetry_space_group_name_Hall '-P 4 2 3'
_cell_length_a 4.850
_cell_length_b 4.850
_cell_length_c 4.850
_cell_angle_alpha 90.00
_cell_angle_beta 90.00
_cell_angle_gamma 90.00
loop_
_atom_site_label
_atom_site_fract_x
_atom_site_fract_y
_atom_site_fract_z
Cr1 0.000 0.000 0.000
In1 0.500 0.500 0.500
Cl1 0.000 0.000 0.500
# D(E_F): 0.155 states/eV/atom
# Formation energy from raw total energies: -1.16 eV/atom
# Theoretical density: 3.98 g/cm³



[4]
# Cr2InCl (SCAN, PBEsol geometry)
data_Cr2InCl
_symmetry_space_group_name_H-M 'R -3 m'
_symmetry_Int_Tables_number 166
_symmetry_space_group_name_Hall '-R 3 2"'
_cell_length_a 3.2621
_cell_length_b 3.2621
_cell_length_c 23.8518
_cell_angle_alpha 90.00
_cell_angle_beta 90.00
_cell_angle_gamma 120.00
loop_
_atom_site_label
_atom_site_fract_x
_atom_site_fract_y
_atom_site_fract_z
Cr1 0.0000 0.0000 0.2451
In1 0.0000 0.0000 0.0000
Cl1 0.0000 0.0000 0.5000
# D(E_F): 0.327 states/eV/atom
# Formation energy from raw total energies: -0.11 eV/atom
# Theoretical density: 5.76 g/cm³



[5]
# CrIn2Cl (SCAN, PBEsol geometry)
data_CrIn2Cl
_symmetry_space_group_name_H-M 'I -4 m 2'
_symmetry_Int_Tables_number 119
_symmetry_space_group_name_Hall 'I -4 -2'
_cell_length_a 4.170
_cell_length_b 4.170
_cell_length_c 10.623
_cell_angle_alpha 90.00
_cell_angle_beta 90.00
_cell_angle_gamma 90.00
loop_
_atom_site_label
_atom_site_fract_x
_atom_site_fract_y
_atom_site_fract_z
Cr1 0.000 0.000 0.000
In1 0.000 0.000 0.500
In2 0.000 0.500 0.250
Cl1 0.000 0.500 0.750
# D(E_F): 0.301 states/eV/atom
# Formation energy from raw total energies: 0.03 eV/atom
# Theoretical density: 5.70 g/cm³



[6]
# Cr2InCl (SCAN, PBEsol geometry)
data_Cr2InCl
_symmetry_space_group_name_H-M 'C 1 2/m 1'
_symmetry_Int_Tables_number 12
_symmetry_space_group_name_Hall '-C 2y'
_cell_length_a 6.524
_cell_length_b 7.352
_cell_length_c 3.069
_cell_angle_alpha 90.00
_cell_angle_beta 90.18
_cell_angle_gamma 90.00
loop_
_atom_site_label
_atom_site_fract_x
_atom_site_fract_y
_atom_site_fract_z
Cr1 0.250 0.250 0.000
In1 0.000 0.000 0.500
Cl1 0.000 0.500 0.500
# D(E_F): 0.587 states/eV/atom
# Formation energy from raw total energies: 0.17 eV/atom
# Theoretical density: 5.74 g/cm³



> Which of these has the lowest formation energy from raw total energies?

CrInCl3



> The highest theoretical density belongs to which entry?

number 2